{
  "formula": "Ac2ZnNiO5",
  "functional": "PBE with a Hubbard U",
  "state": "optimized geometry",
  "energy_ev_per_cell": -106.1,
  "volume_a3_per_cell": 296.2,
  "sg": "P4/mbm, No. 127",
  "rho_g_cm3": 7.4,
  "total_magnetization_mub_per_atom": 0.226,
  "lattice_angstrom": [[-4.742, -2.256, 2.506], [-2.282, -2.275, -6.366], [3.448, -6.171, 0.970]],
  "species": ["O", "Ac", "O", "Ac", "Ni", "O", "Ni", "O", "O", "O", "O", "Ac", "Zn", "O", "O", "Zn", "Ac", "O"],
  "fractional_positions": [[0.240, 0.366, 0.134], [0.500, 0.822, 0.678], [0.760, 0.366, 0.134], [0.500, 0.322, 0.822], [0.000, 0.000, 0.000], [0.760, 0.134, 0.634], [0.000, 0.500, 0.500], [0.240, 0.634, 0.866], [0.500, 0.500, 0.500], [0.760, 0.866, 0.366], [0.240, 0.866, 0.366], [0.500, 0.178, 0.322], [0.000, 0.000, 0.500], [0.500, 0.000, 0.000], [0.760, 0.634, 0.866], [0.000, 0.500, 0.000], [0.500, 0.678, 0.178], [0.240, 0.134, 0.634]]
}